# AcPm2PrSm2

Crystalline AcPm2PrSm2 at its relaxed geometry (PBE, Alexandria via LeMat-Bulk).

Unit cell a=3.5259 b=6.7485 c=18.5682 alpha=90.00 beta=90.00 gamma=90.00
Fractional coordinates of all 12 atoms:
Ac 0.0000 0.0000 0.0000
Ac 0.5000 0.5000 0.5000
Pm 0.5000 0.7055 0.3129
Pm 0.5000 0.2945 0.6871
Pm 0.0000 0.7945 0.8129
Pm 0.0000 0.2055 0.1871
Pr 0.5000 0.5000 0.0000
Pr 0.0000 0.0000 0.5000
Sm 0.5000 0.2001 0.3485
Sm 0.0000 0.7001 0.1515
Sm 0.5000 0.7999 0.6515
Sm 0.0000 0.2999 0.8485

Values from the calculation:
Calculated volume in Å³/atom: 36.8
Formation energy in eV/atom: 0.2710
Density in g/cm³: 7.21
Total magnetization in μB/f.u.: 0.0